The following is a PBE calculation of a relaxed Pr4DyY2 crystal, from the Alexandria database.

Cell and atoms, written as CIF:
```
data_Pr4DyY2
_cell_length_a 6.238
_cell_length_b 13.142
_cell_length_c 6.078
_cell_angle_alpha 90.00
_cell_angle_beta 90.00
_cell_angle_gamma 90.00
_symmetry_space_group_name_H-M 'C m m m'
_symmetry_Int_Tables_number 65
_symmetry_space_group_name_Hall '-C 2 2'
loop_
_atom_site_label
_atom_site_type_symbol
_atom_site_fract_x
_atom_site_fract_y
_atom_site_fract_z
Pr1 Pr 0.000 0.136 0.000
Pr2 Pr 0.000 0.308 0.500
Dy1 Dy 0.000 0.000 0.500
Y1 Y 0.000 0.387 0.000
```

Summary:
offset from the most stable computed form: 409.7 meV/atom
ΔE_f: 0.47 eV/atom
V: 35.59 Å³ per atom